(1)
# Er7Tl2Pd2

Er7Tl2Pd2 after structural relaxation (PBE, Alexandria).

Unit cell a=8.134 b=11.033 c=7.058 alpha=90.00 beta=90.00 gamma=90.00
Space group Cmmm (No. 65)
Symmetry-distinct sites (fractional):
Er (0.000, 0.000, 0.000)
Er (0.000, 0.500, 0.244)
Er (0.250, 0.250, 0.253)
Tl (0.182, 0.000, 0.500)
Pd (0.000, 0.290, 0.000)

Calculated values
* crystal system: orthorhombic
* final energy: -4.5904 eV per atom
* total magnetization: 0.00 μB/cell



(2)
# TlPIr2

TlPIr2 after structural relaxation (PBE, Alexandria).

Unit cell a=2.931 b=3.365 c=14.084 alpha=90.00 beta=90.00 gamma=90.00
Space group Imm2 (No. 44)
Symmetry-distinct sites (fractional):
Tl (0.000, 0.000, 0.000)
P (0.000, 0.500, 0.262)
Ir (0.000, 0.000, 0.635)
Ir (0.000, 0.500, 0.829)

Calculated values
* crystal system: orthorhombic
* final energy: -6.2816 eV per atom
* total magnetization: 0.00 μB/cell



(3)
# MgAlSb

MgAlSb after structural relaxation (PBE, Alexandria).

Unit cell a=3.831 b=3.831 c=9.174 alpha=90.00 beta=90.00 gamma=90.00
Space group I4mm (No. 107)
Symmetry-distinct sites (fractional):
Mg (0.000, 0.000, 0.000)
Al (0.000, 0.000, 0.673)
Sb (0.000, 0.000, 0.327)

Calculated values
* crystal system: tetragonal
* total magnetization: 0.00 μB/cell
* formation energy without anion corrections: 40 meV/atom



(4)
# Sr2As2Ir

Sr2As2Ir after structural relaxation (PBE, Alexandria).

Unit cell a=6.927 b=6.927 c=4.786 alpha=90.00 beta=90.00 gamma=90.00
Space group P4/mbm (No. 127)
Symmetry-distinct sites (fractional):
Sr (0.171, 0.329, 0.000)
As (0.143, 0.643, 0.500)
Ir (0.000, 0.000, 0.500)

Calculated values
* crystal system: tetragonal
* final energy: -4.9618 eV per atom
* total magnetization: 0.00 μB/cell



(5)
# ScTiGe3

ScTiGe3 after structural relaxation (PBE, Alexandria).

Unit cell a=4.953 b=4.953 c=4.953 alpha=90.00 beta=90.00 gamma=90.00
Space group Pm-3m (No. 221)
Symmetry-distinct sites (fractional):
Sc (0.000, 0.000, 0.000)
Ti (0.500, 0.500, 0.500)
Ge (0.000, 0.000, 0.500)

Calculated values
* crystal system: cubic
* final energy: -4.8881 eV per atom
* total magnetization: 0.06 μB/cell



(6)
# YAlRe

YAlRe after structural relaxation (PBE, Alexandria).

Unit cell a=6.608 b=6.608 c=6.608 alpha=90.00 beta=90.00 gamma=90.00
Space group F-43m (No. 216)
Symmetry-distinct sites (fractional):
Y (0.000, 0.000, 0.000)
Al (0.250, 0.250, 0.750)
Re (0.250, 0.250, 0.250)

Calculated values
* crystal system: cubic
* final energy: -6.2878 eV per atom
* total magnetization: 4.02 μB/cell



Q: Which value of total magnetization does entry 5 give?
A: 0.06 μB/cell